Computed, not measured: an optimized crystal structure of Ba3Te5S12 at the PBE level of DFT.

## Properties
formation energy (no corrections): -0.49 eV per atom
VASP energy: -80.74 eV per formula unit

```
Ba3Te5S12
1.0
14.738 0.000 0.000
-4.913 13.895 0.000
-4.913 -6.947 12.033
S Ba Te
48 12 20
direct
0.025 0.407 0.827
0.882 0.302 0.475
0.407 0.382 0.580
0.975 0.593 0.173
0.920 0.093 0.618
0.698 0.580 0.173
0.080 0.907 0.382
0.198 0.673 0.080
0.802 0.475 0.382
0.327 0.802 0.420
0.093 0.920 0.118
0.198 0.525 0.618
0.580 0.882 0.407
0.093 0.173 0.475
0.975 0.382 0.302
0.907 0.827 0.525
0.525 0.327 0.907
0.882 0.580 0.907
0.593 0.975 0.673
0.475 0.673 0.093
0.080 0.173 0.198
0.420 0.302 0.327
0.618 0.593 0.920
0.698 0.118 0.025
0.173 0.080 0.698
0.118 0.698 0.525
0.382 0.975 0.802
0.827 0.907 0.025
0.118 0.420 0.093
0.802 0.327 0.920
0.302 0.420 0.827
0.673 0.475 0.593
0.907 0.080 0.882
0.580 0.698 0.673
0.420 0.118 0.593
0.525 0.198 0.118
0.673 0.198 0.580
0.920 0.827 0.802
0.327 0.525 0.407
0.025 0.618 0.698
0.382 0.407 0.080
0.593 0.618 0.420
0.827 0.920 0.302
0.173 0.093 0.975
0.618 0.025 0.198
0.302 0.882 0.975
0.475 0.802 0.882
0.407 0.025 0.327
0.250 0.125 0.375
0.625 0.250 0.375
0.750 0.875 0.625
0.125 0.250 0.875
0.625 0.375 0.750
0.875 0.750 0.125
0.125 0.875 0.750
0.750 0.375 0.125
0.375 0.750 0.625
0.375 0.625 0.250
0.250 0.625 0.875
0.875 0.125 0.250
0.500 0.000 0.000
0.500 0.500 0.000
0.250 0.875 0.125
0.250 0.375 0.625
0.750 0.125 0.875
0.000 0.500 0.000
0.625 0.875 0.250
0.375 0.250 0.125
0.000 0.500 0.500
0.125 0.750 0.375
0.625 0.750 0.875
0.750 0.625 0.375
0.000 0.000 0.500
0.875 0.625 0.750
0.500 0.000 0.500
0.125 0.375 0.250
0.500 0.500 0.500
0.375 0.125 0.750
0.875 0.250 0.625
0.000 0.000 0.000
```